This record from Alexandria describes a relaxed PrCdPbAu crystal. The functional is PBE-GGA.

Computed properties:
As for the total energy: -3.58 eV per atom. Its space-group type is F-43m, No. 216. The formation energy is -0.411 eV per atom. The total magnetization comes out at 0.00 μB/cell.

a b c (Å): 5.257 5.257 5.257
angles (deg): 60.00 60.00 60.00
Positions (direct):
1 Pr 0.000 0.000 0.000
2 Cd 0.750 0.750 0.750
3 Pb 0.500 0.500 0.500
4 Au 0.250 0.250 0.250



This record from Alexandria describes a relaxed TmAlFe crystal. The functional is PBE-GGA.

Computed properties:
As for the total energy: -5.89 eV per atom. Its space-group type is Imma, No. 74. The formation energy is -0.334 eV per atom. The total magnetization comes out at 3.00 μB/cell.

a b c (Å): 5.256 5.256 5.256
angles (deg): 119.56 118.16 92.00
Positions (direct):
1 Tm 0.365 0.115 0.250
2 Tm 0.635 0.885 0.750
3 Al 0.000 0.500 0.500
4 Al 0.500 0.500 0.000
5 Fe 0.000 0.000 0.500
6 Fe 0.000 0.500 0.000



This record from Alexandria describes a relaxed Pm2TlBiO6 crystal. The functional is PBE-GGA.

Computed properties:
As for the total energy: -6.68 eV per atom. Its space-group type is R3, No. 146. The total magnetization comes out at 0.00 μB/cell. The uncorrected formation energy is -2.13 eV per atom.

a b c (Å): 6.270 6.270 6.270
angles (deg): 57.27 57.27 57.27
Positions (direct):
1 Pm 0.000 0.000 0.000
2 Pm 0.499 0.499 0.499
3 Tl 0.217 0.217 0.217
4 Bi 0.718 0.718 0.718
5 O 0.112 0.396 0.819
6 O 0.320 0.907 0.601
7 O 0.396 0.819 0.112
8 O 0.601 0.320 0.907
9 O 0.819 0.112 0.396
10 O 0.907 0.601 0.320



This record from Alexandria describes a relaxed TlGe2W crystal. The functional is PBE-GGA.

Computed properties:
Its energy above the most stable polymorph in this dataset is 0.00 kcal/mol of atoms. As for the total energy: -5.27 eV per atom. Its space-group type is I-42d, No. 122. The formation energy is 0.870 eV per atom. The total magnetization comes out at 0.00 μB/cell.

a b c (Å): 7.606 7.606 7.606
angles (deg): 132.27 132.27 69.80
Positions (direct):
1 Tl 0.000 0.000 0.000
2 Tl 0.750 0.250 0.500
3 Ge 0.205 0.625 0.080
4 Ge 0.375 0.455 0.580
5 Ge 0.545 0.125 0.920
6 Ge 0.875 0.795 0.420
7 W 0.250 0.750 0.500
8 W 0.500 0.500 0.000



This record from Alexandria describes a relaxed Rb3Ac2YO6 crystal. The functional is PBE-GGA.

Computed properties:
As for the total energy: -6.51 eV per atom. Its space-group type is C2/m, No. 12. The total magnetization comes out at 0.00 μB/cell. The uncorrected formation energy is -2.56 eV per atom.

a b c (Å): 6.522 6.522 6.974
angles (deg): 98.90 98.90 120.05
Positions (direct):
1 Rb 0.000 0.000 0.000
2 Rb 0.339 0.661 0.000
3 Rb 0.661 0.339 0.000
4 Ac 0.167 0.833 0.500
5 Ac 0.833 0.167 0.500
6 Y 0.500 0.500 0.500
7 O 0.127 0.440 0.318
8 O 0.248 0.248 0.682
9 O 0.440 0.127 0.318
10 O 0.560 0.873 0.682
11 O 0.752 0.752 0.318
12 O 0.873 0.560 0.682



This record from Alexandria describes a relaxed Ca4PmGa4 crystal. The functional is PBE-GGA.

Computed properties:
As for the total energy: -3.02 eV per atom. Its space-group type is P4_2/n, No. 86. The formation energy is -0.261 eV per atom. The total magnetization comes out at 0.00 μB/cell.

a b c (Å): 9.389 9.389 6.197
angles (deg): 90.00 90.00 90.00
Positions (direct):
1 Ca 0.067 0.661 0.123
2 Ca 0.161 0.933 0.623
3 Ca 0.339 0.567 0.623
4 Ca 0.433 0.839 0.123
5 Ca 0.567 0.161 0.877
6 Ca 0.661 0.433 0.377
7 Ca 0.839 0.067 0.377
8 Ca 0.933 0.339 0.877
9 Pm 0.250 0.250 0.250
10 Pm 0.750 0.750 0.750
11 Ga 0.016 0.612 0.614
12 Ga 0.112 0.984 0.114
13 Ga 0.388 0.516 0.114
14 Ga 0.484 0.888 0.614
15 Ga 0.516 0.112 0.386
16 Ga 0.612 0.484 0.886
17 Ga 0.888 0.016 0.886
18 Ga 0.984 0.388 0.386



This record from Alexandria describes a relaxed Ca3Cl crystal. The functional is PBE-GGA.

Computed properties:
Its energy above the most stable polymorph in this dataset is 7.82 kcal/mol of atoms. As for the total energy: -2.41 eV per atom. Its space-group type is R-3m, No. 166. The total magnetization comes out at 0.00 μB/cell. The uncorrected formation energy is -0.45 eV per atom.

a b c (Å): 6.785 6.785 6.785
angles (deg): 116.62 116.62 116.62
Positions (direct):
1 Ca 0.000 0.500 0.500
2 Ca 0.500 0.000 0.500
3 Ca 0.500 0.500 0.000
4 Cl 0.000 0.000 0.000



This record from Alexandria describes a relaxed NaSrPu2Se4 crystal. The functional is PBE-GGA.

Computed properties:
As for the total energy: -7.26 eV per atom. Its space-group type is P2/m, No. 10. The total magnetization comes out at 0.13 μB/cell. The uncorrected formation energy is -1.56 eV per atom.

a b c (Å): 7.404 4.274 7.504
angles (deg): 90.00 109.44 90.00
Positions (direct):
1 Na 0.000 0.000 0.000
2 Sr 0.500 0.500 0.000
3 Pu 0.000 0.500 0.500
4 Pu 0.500 0.000 0.500
5 Se 0.242 0.000 0.735
6 Se 0.257 0.500 0.268
7 Se 0.743 0.500 0.732
8 Se 0.758 0.000 0.265



This record from Alexandria describes a relaxed NaCaAs3 crystal. The functional is PBE-GGA.

Computed properties:
Its energy above the most stable polymorph in this dataset is 17.81 kcal/mol of atoms. As for the total energy: -3.11 eV per atom. Its space-group type is Pm-3m, No. 221. The formation energy is 0.341 eV per atom. The total magnetization comes out at 0.00 μB/cell.

a b c (Å): 5.417 5.417 5.417
angles (deg): 90.00 90.00 90.00
Positions (direct):
1 Na 0.000 0.000 0.000
2 Ca 0.500 0.500 0.500
3 As 0.000 0.500 0.500
4 As 0.500 0.000 0.500
5 As 0.500 0.500 0.000



This record from Alexandria describes a relaxed TlPS2Cl crystal. The functional is PBE-GGA.

Computed properties:
Its energy above the most stable polymorph in this dataset is 27.72 kcal/mol of atoms. As for the total energy: -2.43 eV per atom. Its space-group type is P4/mmm, No. 123. The total magnetization comes out at 2.97 μB/cell. The uncorrected formation energy is 1.15 eV per atom.

a b c (Å): 5.168 5.168 5.455
angles (deg): 90.00 90.00 90.00
Positions (direct):
1 Tl 0.000 0.000 0.000
2 P 0.000 0.000 0.500
3 S 0.000 0.500 0.000
4 S 0.500 0.000 0.000
5 Cl 0.500 0.500 0.500



This record from Alexandria describes a relaxed CsTmZnTe3 crystal. The functional is PBE-GGA.

Computed properties:
As for the total energy: -3.74 eV per atom. Its space-group type is P2_1/m, No. 11. The total magnetization comes out at 0.00 μB/cell. The uncorrected formation energy is -1.07 eV per atom.

a b c (Å): 10.307 4.416 10.934
angles (deg): 90.00 112.49 90.00
Positions (direct):
1 Cs 0.217 0.250 0.246
2 Cs 0.783 0.750 0.754
3 Tm 0.331 0.750 0.863
4 Tm 0.669 0.250 0.137
5 Zn 0.082 0.250 0.608
6 Zn 0.918 0.750 0.392
7 Te 0.122 0.250 0.861
8 Te 0.202 0.750 0.546
9 Te 0.476 0.750 0.161
10 Te 0.524 0.250 0.839
11 Te 0.798 0.250 0.454
12 Te 0.878 0.750 0.139



This record from Alexandria describes a relaxed Ba2TaHPb crystal. The functional is PBE-GGA.

Computed properties:
As for the total energy: -4.20 eV per atom. Its space-group type is P4/mmm, No. 123. The total magnetization comes out at 3.53 μB/cell.

a b c (Å): 5.975 5.975 4.138
angles (deg): 90.00 90.00 90.00
Positions (direct):
1 Ba 0.000 0.500 0.000
2 Ba 0.500 0.000 0.000
3 Ta 0.000 0.000 0.500
4 H 0.000 0.000 0.000
5 Pb 0.500 0.500 0.500



This record from Alexandria describes a relaxed Na2RePt crystal. The functional is PBE-GGA.

Computed properties:
Its energy above the most stable polymorph in this dataset is 0.00 kcal/mol of atoms. As for the total energy: -4.19 eV per atom. Its space-group type is I-42d, No. 122. The formation energy is 1.091 eV per atom. The total magnetization comes out at 5.30 μB/cell.

a b c (Å): 6.465 6.465 6.465
angles (deg): 98.58 98.58 134.57
Positions (direct):
1 Na 0.084 0.625 0.959
2 Na 0.375 0.334 0.459
3 Na 0.666 0.125 0.041
4 Na 0.875 0.916 0.541
5 Re 0.250 0.750 0.500
6 Re 0.500 0.500 0.000
7 Pt 0.000 0.000 0.000
8 Pt 0.750 0.250 0.500



This record from Alexandria describes a relaxed U5Co crystal. The functional is PBE-GGA.

Computed properties:
As for the total energy: -10.45 eV per atom. Its space-group type is Cmmm, No. 65. The formation energy is 0.140 eV per atom. The total magnetization comes out at 1.46 μB/cell.

a b c (Å): 7.341 7.341 3.210
angles (deg): 90.00 90.00 137.92
Positions (direct):
1 U 0.000 0.000 0.000
2 U 0.180 0.820 0.500
3 U 0.344 0.656 0.000
4 U 0.656 0.344 0.000
5 U 0.820 0.180 0.500
6 Co 0.500 0.500 0.500



This record from Alexandria describes a relaxed La2ScGeN crystal. The functional is PBE-GGA.

Computed properties:
As for the total energy: -6.77 eV per atom. Its space-group type is P4/mmm, No. 123. The total magnetization comes out at 0.00 μB/cell. The uncorrected formation energy is -0.95 eV per atom.

a b c (Å): 5.126 5.126 4.351
angles (deg): 90.00 90.00 90.00
Positions (direct):
1 La 0.000 0.500 0.000
2 La 0.500 0.000 0.000
3 Sc 0.000 0.000 0.500
4 Ge 0.500 0.500 0.500
5 N 0.000 0.000 0.000



This record from Alexandria describes a relaxed Bi2Pb2I crystal. The functional is PBE-GGA.

Computed properties:
Its energy above the most stable polymorph in this dataset is 2.52 kcal/mol of atoms. As for the total energy: -3.36 eV per atom. Its space-group type is I4/mmm, No. 139. The total magnetization comes out at 0.00 μB/cell. The uncorrected formation energy is -0.02 eV per atom.

a b c (Å): 7.831 7.831 7.831
angles (deg): 141.14 141.14 56.12
Positions (direct):
1 Bi 0.118 0.118 0.000
2 Bi 0.882 0.882 0.000
3 Pb 0.250 0.750 0.500
4 Pb 0.750 0.250 0.500
5 I 0.500 0.500 0.000



This record from Alexandria describes a relaxed Dy2ThPd3 crystal. The functional is PBE-GGA.

Computed properties:
Its energy above the most stable polymorph in this dataset is 1.20 kcal/mol of atoms. As for the total energy: -6.11 eV per atom. Its space-group type is C2/c, No. 15. The formation energy is -0.747 eV per atom. The total magnetization comes out at 0.00 μB/cell.

a b c (Å): 7.146 7.146 8.240
angles (deg): 106.78 106.78 48.15
Positions (direct):
1 Dy 0.164 0.167 0.083
2 Dy 0.167 0.164 0.583
3 Dy 0.833 0.836 0.417
4 Dy 0.836 0.833 0.917
5 Th 0.499 0.501 0.750
6 Th 0.501 0.499 0.250
7 Pd 0.001 0.999 0.250
8 Pd 0.331 0.335 0.416
9 Pd 0.335 0.331 0.916
10 Pd 0.665 0.669 0.084
11 Pd 0.669 0.665 0.584
12 Pd 0.999 0.001 0.750



This record from Alexandria describes a relaxed KRhBr2 crystal. The functional is PBE-GGA.

Computed properties:
Its energy above the most stable polymorph in this dataset is 1.83 kcal/mol of atoms. As for the total energy: -3.49 eV per atom. Its space-group type is R-3m, No. 166. The total magnetization comes out at 1.95 μB/cell. The uncorrected formation energy is -0.54 eV per atom.

a b c (Å): 7.226 7.226 7.226
angles (deg): 34.49 34.49 34.49
Positions (direct):
1 K 0.000 0.000 0.000
2 Rh 0.500 0.500 0.500
3 Br 0.231 0.231 0.231
4 Br 0.769 0.769 0.769



This record from Alexandria describes a relaxed La2AlAg3 crystal. The functional is PBE-GGA.

Computed properties:
Its energy above the most stable polymorph in this dataset is 1.09 kcal/mol of atoms. As for the total energy: -3.96 eV per atom. Its space-group type is Imm2, No. 44. The formation energy is -0.271 eV per atom. The total magnetization comes out at 0.00 μB/cell.

a b c (Å): 9.076 9.076 9.076
angles (deg): 153.73 151.86 38.88
Positions (direct):
1 La 0.000 0.000 0.000
2 La 0.747 0.247 0.500
3 Al 0.585 0.585 0.000
4 Ag 0.162 0.662 0.500
5 Ag 0.324 0.824 0.500
6 Ag 0.429 0.429 0.000



This record from Alexandria describes a relaxed CoAgMo3 crystal. The functional is PBE-GGA.

Computed properties:
Its energy above the most stable polymorph in this dataset is 0.00 kcal/mol of atoms. As for the total energy: -7.27 eV per atom. Its space-group type is Pm-3m, No. 221. The formation energy is 1.222 eV per atom. The total magnetization comes out at 0.00 μB/cell.

a b c (Å): 4.465 4.465 4.465
angles (deg): 90.00 90.00 90.00
Positions (direct):
1 Co 0.000 0.000 0.000
2 Ag 0.500 0.500 0.500
3 Mo 0.000 0.000 0.500
4 Mo 0.000 0.500 0.000
5 Mo 0.500 0.000 0.000